Compound: Ta2AlSe
Source: the Alexandria database
Functional: PBE-GGA
Structure: optimized geometry

Output
- energy relative to the elements, uncorrected (eV per formula unit) = 0.0
- final energy (eV/f.u.) = -30.90
- M_tot (μB per formula unit) = 0.00

Unit cell a=9.254 b=3.212 c=4.769 alpha=90.00 beta=96.77 gamma=90.00
Space group C2/m (No. 12)
One atom of each set of equivalent atoms:
Ta 0.249 0.000 0.244
Al 0.000 0.500 0.000
Se 0.000 0.000 0.500

Compound: Ta2AlSe
Source: the Alexandria database
Functional: PBE-GGA
Structure: optimized geometry

Output
- energy relative to the elements, uncorrected (eV per formula unit) = -0.3
- final energy (eV/f.u.) = -31.27
- M_tot (μB per formula unit) = 0.00

Unit cell a=3.040 b=4.830 c=5.145 alpha=90.00 beta=106.98 gamma=90.00
Space group Pm (No. 6)
One atom of each set of equivalent atoms:
Ta 0.000 0.000 0.000
Ta 0.360 0.500 0.728
Al 0.627 0.500 0.252
Se 0.283 0.000 0.561

Compound: Ta2AlSe
Source: the Alexandria database
Functional: PBE-GGA
Structure: optimized geometry

Output
- energy relative to the elements, uncorrected (eV per formula unit) = -0.7
- final energy (eV/f.u.) = -31.63
- M_tot (μB per formula unit) = 0.00

Unit cell a=3.362 b=3.362 c=6.277 alpha=90.00 beta=90.00 gamma=90.00
Space group P4mm (No. 99)
One atom of each set of equivalent atoms:
Ta 0.000 0.000 0.000
Ta 0.500 0.500 0.269
Al 0.000 0.000 0.490
Se 0.500 0.500 0.801

Compound: TaAlSe2
Source: the Alexandria database
Functional: PBE-GGA
Structure: optimized geometry

Output
- energy relative to the elements, uncorrected (eV per formula unit) = 0.4
- final energy (eV/f.u.) = -22.17
- M_tot (μB per formula unit) = 0.00

Unit cell a=3.371 b=4.571 c=5.212 alpha=90.00 beta=99.89 gamma=90.00
Space group P2/m (No. 10)
One atom of each set of equivalent atoms:
Ta 0.000 0.000 0.000
Al 0.500 0.000 0.500
Se 0.003 0.500 0.748